Compound: KNiAu2
Source: the Alexandria database
Functional: PBEsol
Structure: optimized geometry

## Properties
mass density: 10.0 Mg/m³
magnetic moment: 0.07 μB per atom
relative energy among the computed polymorphs: 0 meV per atom
DFT formation energy: 243 meV per atom
DOS at the Fermi energy: 4.0 states/eV/cell

Cell and atoms, written as CIF:
```
data_KNiAu2
_space_group_name_H-M_alt 'P m m 2'
_space_group_IT_number 25
_space_group_name_Hall 'P 2 -2'
_cell_length_a 2.740
_cell_length_b 4.098
_cell_length_c 7.286
_cell_angle_alpha 90.00
_cell_angle_beta 90.00
_cell_angle_gamma 90.00
loop_
_atom_site_label
_atom_site_fract_x
_atom_site_fract_y
_atom_site_fract_z
_atom_site_occupancy
K1 0.000 0.000 0.000 1
Ni1 0.500 0.500 0.346 1
Au1 0.000 0.000 0.439 1
Au2 0.500 0.500 0.696 1
```

Compound: KNiAu2
Source: the Alexandria database
Functional: PBEsol
Structure: optimized geometry

## Properties
mass density: 11.2 Mg/m³
magnetic moment: 0.06 μB per atom
relative energy among the computed polymorphs: 237 meV per atom
DFT formation energy: 479 meV per atom
DOS at the Fermi energy: 9.3 states/eV/cell

Cell and atoms, written as CIF:
```
data_KNiAu2
_space_group_name_H-M_alt 'I -4 m 2'
_space_group_IT_number 119
_space_group_name_Hall 'I -4 -2'
_cell_length_a 4.147
_cell_length_b 4.147
_cell_length_c 8.467
_cell_angle_alpha 90.00
_cell_angle_beta 90.00
_cell_angle_gamma 90.00
loop_
_atom_site_label
_atom_site_fract_x
_atom_site_fract_y
_atom_site_fract_z
_atom_site_occupancy
K1 0.000 0.000 0.000 1
Ni1 0.000 0.500 0.250 1
Au1 0.000 0.000 0.500 1
Au2 0.000 0.500 0.750 1
```

Compound: KNi2Au
Source: the Alexandria database
Functional: PBEsol
Structure: optimized geometry

## Properties
mass density: 8.6 Mg/m³
magnetic moment: 0.23 μB per atom
DFT formation energy: 345 meV per atom
DOS at the Fermi energy: 4.1 states/eV/cell

Cell and atoms, written as CIF:
```
data_KNi2Au
_space_group_name_H-M_alt 'P 4 m m'
_space_group_IT_number 99
_space_group_name_Hall 'P 4 -2'
_cell_length_a 2.952
_cell_length_b 2.952
_cell_length_c 7.806
_cell_angle_alpha 90.00
_cell_angle_beta 90.00
_cell_angle_gamma 90.00
loop_
_atom_site_label
_atom_site_fract_x
_atom_site_fract_y
_atom_site_fract_z
_atom_site_occupancy
K1 0.000 0.000 0.000 1
Ni1 0.000 0.000 0.454 1
Ni2 0.500 0.500 0.316 1
Au1 0.500 0.500 0.665 1
```

Number 1 is which compound? KNiAu2

Among the records above, which one has the highest magnetic moment? KNi2Au

Which value of DFT formation energy does entry 3 give? 345 meV per atom

Which formula does entry 3 have? KNi2Au